[1]
A relaxed structure of LaScNiAg. Source: Alexandria, functional GGA-PBE.

Lattice parameters (Å, degrees): 4.9932 4.9932 4.9932 60.00 60.00 60.00
With the nearest neighbours (Å) after each atom.
Atoms (fractional coordinates):
1 La 0.0000 0.0000 0.0000  4 Ni 3.06, 4 Ag 3.06
2 Sc 0.5000 0.5000 0.5000  4 Ni 3.06, 4 Ag 3.06
3 Ni 0.2500 0.2500 0.2500  4 La 3.06, 4 Sc 3.06
4 Ag 0.7500 0.7500 0.7500  4 La 3.06, 4 Sc 3.06

Results
Total magnetic moment in Bohr magnetons per cell: 0.00
Calculated volume in Å³ per cell: 88
VASP energy in eV per atom: -5.1665
Space-group type: No. 216
Energy of formation from the pure elements in eV/atom: -0.19

---

[2]
A relaxed structure of LaScNi2Ag. Source: Alexandria, functional GGA-PBE.

Lattice parameters (Å, degrees): 4.8482 4.8482 5.2393 90.00 90.00 90.00
With the nearest neighbours (Å) after each atom.
Atoms (fractional coordinates):
1 La 0.0000 0.0000 0.0000  2 Ag 2.62
2 Sc 0.5000 0.5000 0.0000  4 La 3.43, 8 Ni 3.57
3 Ni 0.0000 0.5000 0.5000  2 Ag 2.42
4 Ni 0.5000 0.0000 0.5000  2 Ag 2.42
5 Ag 0.0000 0.0000 0.5000  4 Ni 2.42, 2 La 2.62

Results
Total magnetic moment in Bohr magnetons per cell: 0.70
Calculated volume in Å³ per cell: 123
VASP energy in eV per atom: -4.3248
Space-group type: No. 123
Energy of formation from the pure elements in eV/atom: 0.81

---

[3]
A relaxed structure of LaNiAg2Se. Source: Alexandria, functional GGA-PBE.

Lattice parameters (Å, degrees): 4.8022 4.8022 5.2577 90.00 90.00 90.00
With the nearest neighbours (Å) after each atom.
Atoms (fractional coordinates):
1 La 0.0000 0.0000 0.0000  2 Ni 2.63
2 Ni 0.0000 0.0000 0.5000  4 Ag 2.40, 2 La 2.63
3 Ag 0.0000 0.5000 0.5000  2 Ni 2.40
4 Ag 0.5000 0.0000 0.5000  2 Ni 2.40
5 Se 0.5000 0.5000 0.0000  4 La 3.40, 8 Ag 3.56

Results
E_form (uncorrected) in eV per atom: -0.14
Total magnetic moment in Bohr magnetons per cell: 0.00
Calculated volume in Å³ per cell: 121
VASP energy in eV per atom: -4.1153
Space-group type: No. 123

---

[4]
A relaxed structure of La2Ni4AgSn3. Source: Alexandria, functional GGA-PBE.

Lattice parameters (Å, degrees): 4.4854 4.4854 10.1388 90.00 90.00 90.00
With the nearest neighbours (Å) after each atom.
Atoms (fractional coordinates):
1 La 0.0000 0.5000 0.2454  8 Ni 3.35-3.41, 7 Sn 3.41-3.73, 2 Ag 3.42
2 La 0.5000 0.0000 0.7546  8 Ni 3.35-3.41, 7 Sn 3.41-3.73, 2 Ag 3.42
3 Ni 0.0000 0.0000 0.0000  4 Sn 2.57
4 Ni 0.0000 0.5000 0.6302  3 Sn 2.50-2.60, 2 Ag 2.60
5 Ni 0.5000 0.0000 0.3698  3 Sn 2.50-2.60, 2 Ag 2.60
6 Ni 0.5000 0.5000 0.0000  4 Sn 2.57
7 Ag 0.0000 0.0000 0.5000  4 Ni 2.60
8 Sn 0.0000 0.5000 0.8770  5 Ni 2.50-2.57
9 Sn 0.5000 0.0000 0.1230  5 Ni 2.50-2.57
10 Sn 0.5000 0.5000 0.5000  4 Ni 2.60

Results
Total magnetic moment in Bohr magnetons per cell: 0.00
Calculated volume in Å³ per cell: 204
VASP energy in eV per atom: -5.2422
Space-group type: No. 115
Energy of formation from the pure elements in eV/atom: -0.46

---

[5]
A relaxed structure of La2Ni3AgSn4. Source: Alexandria, functional GGA-PBE.

Lattice parameters (Å, degrees): 4.5443 4.5443 10.4885 90.00 90.00 90.00
With the nearest neighbours (Å) after each atom.
Atoms (fractional coordinates):
1 La 0.0000 0.5000 0.2489  8 Sn 3.41-3.48, 6 Ni 3.46-3.50, 2 Ag 3.46
2 La 0.5000 0.0000 0.7511  8 Sn 3.41-3.48, 6 Ni 3.46-3.50, 2 Ag 3.46
3 Ni 0.0000 0.0000 0.0000  4 Sn 2.71
4 Ni 0.0000 0.5000 0.6190  5 Sn 2.52-2.59
5 Ni 0.5000 0.0000 0.3810  5 Sn 2.52-2.59
6 Ag 0.5000 0.5000 0.0000  4 Sn 2.71
7 Sn 0.0000 0.0000 0.5000  4 Ni 2.59
8 Sn 0.0000 0.5000 0.8592  3 Ni 2.52-2.71, 2 Ag 2.71
9 Sn 0.5000 0.0000 0.1408  3 Ni 2.52-2.71, 2 Ag 2.71
10 Sn 0.5000 0.5000 0.5000  4 Ni 2.59

Results
Total magnetic moment in Bohr magnetons per cell: 0.00
Calculated volume in Å³ per cell: 217
VASP energy in eV per atom: -5.1359
Space-group type: No. 115
Energy of formation from the pure elements in eV/atom: -0.53

---

[6]
A relaxed structure of SrLaNiAg2. Source: Alexandria, functional GGA-PBE.

Lattice parameters (Å, degrees): 5.4893 5.4893 5.0900 90.00 90.00 90.00
With the nearest neighbours (Å) after each atom.
Atoms (fractional coordinates):
1 Sr 0.0000 0.0000 0.0000  2 Ni 2.54, 4 Ag 2.74
2 La 0.5000 0.5000 0.5000  8 Ag 3.74, 4 Ni 3.88
3 Ni 0.0000 0.0000 0.5000  2 Sr 2.54
4 Ag 0.0000 0.5000 0.0000  2 Sr 2.74
5 Ag 0.5000 0.0000 0.0000  2 Sr 2.74

Results
Total magnetic moment in Bohr magnetons per cell: 0.00
Calculated volume in Å³ per cell: 153
VASP energy in eV per atom: -2.9794
Space-group type: No. 123
Energy of formation from the pure elements in eV/atom: 0.64

---

[7]
A relaxed structure of SrLa2NiAg. Source: Alexandria, functional GGA-PBE.

Lattice parameters (Å, degrees): 5.4105 5.4105 5.3329 90.00 90.00 90.00
With the nearest neighbours (Å) after each atom.
Atoms (fractional coordinates):
1 Sr 0.0000 0.0000 0.0000  8 La 3.80, 4 Ag 3.83
2 La 0.0000 0.5000 0.5000  2 Ni 2.71
3 La 0.5000 0.0000 0.5000  2 Ni 2.71
4 Ni 0.5000 0.5000 0.5000  2 Ag 2.67, 4 La 2.71
5 Ag 0.5000 0.5000 0.0000  2 Ni 2.67

Results
Total magnetic moment in Bohr magnetons per cell: 0.00
Calculated volume in Å³ per cell: 156
VASP energy in eV per atom: -4.0491
Space-group type: No. 123
Energy of formation from the pure elements in eV/atom: -0.02

---

[8]
A relaxed structure of LaTbNiAg. Source: Alexandria, functional GGA-PBE.

Lattice parameters (Å, degrees): 5.1243 5.1243 5.1243 60.00 60.00 60.00
With the nearest neighbours (Å) after each atom.
Atoms (fractional coordinates):
1 La 0.0000 0.0000 0.0000  4 Ni 3.14, 4 Ag 3.14
2 Tb 0.5000 0.5000 0.5000  4 Ni 3.14, 4 Ag 3.14
3 Ni 0.7500 0.7500 0.7500  4 La 3.14, 4 Tb 3.14
4 Ag 0.2500 0.2500 0.2500  4 Tb 3.14, 4 La 3.14

Results
Total magnetic moment in Bohr magnetons per cell: 0.00
Calculated volume in Å³ per cell: 95
VASP energy in eV per atom: -4.7853
Space-group type: No. 216
Energy of formation from the pure elements in eV/atom: -0.24